! Ba2GaHg4Sb2 PBE relaxed; values from VASP
&SYSTEM
  ibrav = 0, nat = 9, ntyp = 4
/
ATOMIC_SPECIES
Ga 69.72 Ga.upf
Hg 200.59 Hg.upf
Sb 121.76 Sb.upf
Ba 137.33 Ba.upf
ATOMIC_POSITIONS crystal
Ga 0.000 0.000 0.000
Hg 0.563 0.282 0.282
Sb 0.000 0.257 0.257
Hg 0.000 0.282 0.718
Ba 0.500 0.250 0.750
Hg 0.437 0.718 0.718
Ba 0.500 0.750 0.250
Sb 0.000 0.743 0.743
Hg 0.000 0.718 0.282
CELL_PARAMETERS angstrom
7.405 -0.196 -0.283
-3.727 6.402 0.283
-3.727 -1.984 6.094
! **Raw total energy**: -2.252 eV/atom
! **Space group**: I4/mmm